# La2Pr4HoEr

Crystalline La2Pr4HoEr at its relaxed geometry (PBE, Alexandria via LeMat-Bulk).

Structure (extended XYZ):
```
8
Lattice="5.168 0.000 0.000 0.000 5.204 0.000 -0.018 0.000 10.427" Properties=species:S:1:pos:R:3 pbc="T T T"
La 0.000 0.000 0.000
La 2.575 2.602 5.214
Pr 5.161 2.602 2.600
Pr -0.012 2.602 7.827
Pr 2.581 0.000 2.610
Pr 2.569 0.000 7.817
Ho -0.009 0.000 5.214
Er 2.584 2.602 0.000
```

Properties
Calculated volume   35.05 Å³/atom
Total magnetization   0.00 μB/cell
Total energy   -4.7421 eV per atom



# LaPr6Ho2Er3

Crystalline LaPr6Ho2Er3 at its relaxed geometry (PBE, Alexandria via LeMat-Bulk).

Structure (extended XYZ):
```
12
Lattice="3.158 -5.470 0.000 3.158 5.470 0.000 -2.105 0.000 11.756" Properties=species:S:1:pos:R:3 pbc="T T T"
La 0.000 0.000 0.000
Pr 1.055 1.829 2.975
Pr 0.005 0.000 8.780
Pr 1.055 -1.829 2.975
Pr 3.155 1.829 8.781
Pr 4.205 0.000 2.976
Pr 3.155 -1.829 8.781
Ho 3.158 1.822 0.000
Ho 3.158 -1.822 0.000
Er 2.105 3.643 5.878
Er 2.105 0.000 5.878
Er 2.105 -3.643 5.878
```

Properties
Calculated volume   33.84 Å³/atom
Total magnetization   0.00 μB/cell
Total energy   -4.6862 eV per atom



# La2PrHo2Er2

Crystalline La2PrHo2Er2 at its relaxed geometry (PBE, Alexandria via LeMat-Bulk).

Structure (extended XYZ):
```
7
Lattice="5.704 -2.548 0.000 5.704 2.548 0.000 -1.151 0.000 8.034" Properties=species:S:1:pos:R:3 pbc="T T T"
La 1.133 0.000 3.436
La 9.124 0.000 4.598
Pr 0.000 0.000 0.000
Ho 4.570 0.000 2.263
Ho 5.687 0.000 5.771
Er 2.246 0.000 6.920
Er 8.011 0.000 1.114
```

Properties
Calculated volume   33.37 Å³/atom
Total magnetization   0.00 μB/cell
Total energy   -4.6702 eV per atom



# LaPr2Ho2Er2

Crystalline LaPr2Ho2Er2 at its relaxed geometry (PBE, Alexandria via LeMat-Bulk).

Structure (extended XYZ):
```
7
Lattice="8.687 -1.753 0.000 8.687 1.753 0.000 -4.436 0.000 7.742" Properties=species:S:1:pos:R:3 pbc="T T T"
La 0.000 0.000 0.000
Pr 6.283 0.000 2.139
Pr 6.654 0.000 5.603
Ho 3.547 0.000 4.266
Ho 9.391 0.000 3.476
Er 0.972 0.000 6.582
Er 11.966 0.000 1.159
```

Properties
Calculated volume   33.69 Å³/atom
Total magnetization   0.00 μB/cell
Total energy   -4.5746 eV per atom



# La2Pr3HoEr6

Crystalline La2Pr3HoEr6 at its relaxed geometry (PBE, Alexandria via LeMat-Bulk).

Structure (extended XYZ):
```
12
Lattice="3.127 -5.415 0.000 3.127 5.415 0.000 -2.079 0.000 11.638" Properties=species:S:1:pos:R:3 pbc="T T T"
La 3.127 3.616 0.000
La 3.127 -3.616 0.000
Pr -1.040 0.000 5.819
Pr 2.087 1.806 5.819
Pr 2.087 -1.806 5.819
Ho 3.127 0.000 0.000
Er 0.006 1.800 8.732
Er 1.051 0.000 2.908
Er 0.006 -1.800 8.732
Er 4.168 1.800 2.906
Er 3.123 0.000 8.729
Er 4.168 -1.800 2.906
```

Properties
Calculated volume   32.84 Å³/atom
Total magnetization   0.00 μB/cell
Total energy   -4.6618 eV per atom



# La2PrHo2Er

Crystalline La2PrHo2Er at its relaxed geometry (PBE, Alexandria via LeMat-Bulk).

Structure (extended XYZ):
```
12
Lattice="7.131 0.000 0.000 0.000 5.740 0.000 0.000 0.000 9.921" Properties=species:S:1:pos:R:3 pbc="T T T"
La 0.000 0.000 0.000
La 1.783 2.870 1.779
La 3.566 0.000 0.000
La 5.349 2.870 8.142
Pr 1.783 0.000 6.528
Pr 5.349 0.000 3.393
Ho 1.783 0.000 3.306
Ho 1.783 2.870 8.281
Ho 5.349 0.000 6.614
Ho 5.349 2.870 1.639
Er 0.000 2.870 4.960
Er 3.566 2.870 4.960
```

Properties
Calculated volume   33.84 Å³/atom
Total magnetization   0.00 μB/cell
Total energy   -4.6600 eV per atom